Crystalline Tb2ScRu at its relaxed geometry, computed with GGA-PBE.

The calculation puts the total magnetic moment at 0.00 μB per atom. Its space group is Pnma, No. 62.

Cell lengths 7.1255, 9.0461, 6.2321 Å; angles 90.00, 90.00, 90.00 degrees
Closest atoms and distances in Å follow each position.
Fractional positions:
Tb 0.1796 0.0623 0.1729  3 Ru 2.88-3.09
Tb 0.1796 0.4377 0.1729  3 Ru 2.88-3.09
Tb 0.3204 0.5623 0.6729  3 Ru 2.88-3.09
Tb 0.3204 0.9377 0.6729  3 Ru 2.88-3.09
Tb 0.6796 0.0623 0.3271  3 Ru 2.88-3.09
Tb 0.6796 0.4377 0.3271  3 Ru 2.88-3.09
Tb 0.8204 0.5623 0.8271  3 Ru 2.88-3.09
Tb 0.8204 0.9377 0.8271  3 Ru 2.88-3.09
Sc 0.0442 0.2500 0.6348  2 Ru 2.59-2.63
Sc 0.4558 0.7500 0.1348  2 Ru 2.59-2.63
Sc 0.5442 0.2500 0.8652  2 Ru 2.59-2.63
Sc 0.9558 0.7500 0.3652  2 Ru 2.59-2.63
Ru 0.1167 0.7500 0.9849  2 Sc 2.59-2.63, 2 Tb 2.88
Ru 0.3833 0.2500 0.4849  2 Sc 2.59-2.63, 2 Tb 2.88
Ru 0.6167 0.7500 0.5151  2 Sc 2.59-2.63, 2 Tb 2.88
Ru 0.8833 0.2500 0.0151  2 Sc 2.59-2.63, 2 Tb 2.88


Crystalline TbSc3Ru2 at its relaxed geometry, computed with GGA-PBE.

The calculation puts the total magnetic moment at 0.00 μB per atom. Its space group is P4/mmm, No. 123.

Cell lengths 3.2553, 3.2553, 11.5469 Å; angles 90.00, 90.00, 90.00 degrees
Closest atoms and distances in Å follow each position.
Fractional positions:
Tb 0.0000 0.0000 0.0000  4 Tb 3.26, 8 Sc 3.52
Sc 0.5000 0.5000 0.2309  4 Ru 2.72
Sc 0.5000 0.5000 0.5000  8 Ru 2.83, 2 Sc 3.11
Sc 0.5000 0.5000 0.7691  4 Ru 2.72
Ru 0.0000 0.0000 0.3568  8 Sc 2.72-2.83
Ru 0.0000 0.0000 0.6432  8 Sc 2.72-2.83


Crystalline TbTmScRu at its relaxed geometry, computed with GGA-PBE.

The calculation puts the total magnetic moment at 0.00 μB per atom. Its space group is F-43m, No. 216.

Cell lengths 5.0267, 5.0267, 5.0267 Å; angles 60.00, 60.00, 60.00 degrees
Closest atoms and distances in Å follow each position.
Fractional positions:
Tb 0.0000 0.0000 0.0000  4 Ru 3.08, 4 Sc 3.08
Tm 0.5000 0.5000 0.5000  4 Ru 3.08, 4 Sc 3.08
Sc 0.2500 0.2500 0.2500  4 Tb 3.08, 4 Tm 3.08
Ru 0.7500 0.7500 0.7500  4 Tb 3.08, 4 Tm 3.08


Number 1: formation energy -0.322 eV per atom. Number 2: formation energy -0.423 eV per atom. Number 3: formation energy -0.052 eV per atom.